# Tb4HoTm6 (PBE-GGA, relaxed)
# Fermi-level density of states: 1.31 states/eV per atom
# Calculated formation energy: 0.471 eV per atom
data_Tb4HoTm6
_chemical_formula_sum 'Tb8 Ho2 Tm12'
_cell_length_a 7.5640
_cell_length_b 7.5640
_cell_length_c 12.9062
_cell_angle_alpha 90.00
_cell_angle_beta 90.00
_cell_angle_gamma 90.00
_space_group_name_H-M_alt 'I -4 2 m'
_space_group_IT_number 121
_space_group_name_Hall 'I -4 2'
loop_
_atom_site_label
_atom_site_fract_x
_atom_site_fract_y
_atom_site_fract_z
Tb1 0.1707 0.1707 0.4239
Ho1 0.0000 0.0000 0.0000
Tm1 0.0000 0.5000 0.0000
Tm2 0.2441 0.2441 0.1830

# Tb12Ho5Tm2 (PBE-GGA, relaxed)
# Fermi-level density of states: 1.50 states/eV per atom
# Calculated formation energy: 0.125 eV per atom
data_Tb12Ho5Tm2
_chemical_formula_sum 'Tb24 Ho10 Tm4'
_cell_length_a 15.6471
_cell_length_b 9.1388
_cell_length_c 8.5104
_cell_angle_alpha 90.00
_cell_angle_beta 91.33
_cell_angle_gamma 90.00
_space_group_name_H-M_alt 'C 1 2/m 1'
_space_group_IT_number 12
loop_
_space_group_symop_operation_xyz
'x,y,z'
'-x,-y,-z'
'-x,y,-z'
'x,-y,z'
'x+1/2,y+1/2,z'
'-x+1/2,-y+1/2,-z'
'-x+1/2,y+1/2,-z'
'x+1/2,-y+1/2,z'
loop_
_atom_site_label
_atom_site_fract_x
_atom_site_fract_y
_atom_site_fract_z
Tb1 0.0588 0.0000 0.3373
Tb2 0.0876 0.5000 0.8835
Tb3 0.1270 0.1939 0.6678
Tb4 0.1529 0.3183 0.2402
Ho1 0.0000 0.5000 0.5000
Ho2 0.1996 0.0000 0.0155
Ho3 0.2315 0.5000 0.5714
Tm1 0.0000 0.1750 0.0000

# Tb7Ho2Tm (PBE-GGA, relaxed)
# Fermi-level density of states: 1.22 states/eV per atom
# Calculated formation energy: 0.687 eV per atom
data_Tb7Ho2Tm
_chemical_formula_sum 'Tb14 Ho4 Tm2'
_cell_length_a 8.6687
_cell_length_b 16.9764
_cell_length_c 5.2361
_cell_angle_alpha 90.00
_cell_angle_beta 90.00
_cell_angle_gamma 90.00
_space_group_name_H-M_alt 'C m m m'
_space_group_IT_number 65
_space_group_name_Hall '-C 2 2'
loop_
_atom_site_label
_atom_site_fract_x
_atom_site_fract_y
_atom_site_fract_z
Tb1 0.0000 0.0000 0.0000
Tb2 0.0000 0.3014 0.5000
Tb3 0.1789 0.3910 0.0000
Ho1 0.0000 0.2025 0.0000
Tm1 0.0000 0.5000 0.5000

- Among the records above, which one has the lowest calculated formation energy?
  Tb12Ho5Tm2